No. 1
This record from the Alexandria database describes crystalline Co2Te5 at its relaxed geometry. The functional is PBE.

a = 6.353 Å, b = 6.454 Å, c = 9.980 Å
α = 122.07°, β = 108.56°, γ = 90.00°
Atoms (fractional coordinates):
Te (0.573, 0.250, 0.000)
Te (0.804, 0.728, 0.803)
Te (0.186, 0.773, 0.607)
Te (0.001, 0.772, 0.197)
Te (0.814, 0.227, 0.393)
Te (0.196, 0.272, 0.197)
Te (0.999, 0.228, 0.803)
Te (0.579, 0.727, 0.393)
Te (0.427, 0.750, 0.000)
Te (0.421, 0.273, 0.607)
Co (0.901, 0.509, 0.300)
Co (0.601, 0.991, 0.700)
Co (0.399, 0.009, 0.300)
Co (0.099, 0.491, 0.700)

The calculation puts the mass density at 7.8 g cm⁻³. For the uncorrected formation energy, the calculation gives -0.1480 eV per atom. Its space group is No. 15.

---

No. 2
This record from the Alexandria database describes crystalline CoTe4 at its relaxed geometry. The functional is PBE.

a = 5.050 Å, b = 5.050 Å, c = 5.050 Å
α = 90.00°, β = 90.00°, γ = 90.00°
Atoms (fractional coordinates):
Te (0.000, 0.500, 0.500)
Te (0.500, 0.500, 0.000)
Te (0.000, 0.000, 0.000)
Te (0.500, 0.000, 0.500)
Co (0.500, 0.500, 0.500)

The calculation puts the mass density at 7.3 g cm⁻³. For the uncorrected formation energy, the calculation gives 0.3126 eV per atom. The distance to the lowest polymorph of the same formula is 360.4 meV/atom. Its space group is No. 221.

---

Please write out number 1 again, unchanged.
This record from the Alexandria database describes crystalline Co2Te5 at its relaxed geometry. The functional is PBE.

a = 6.353 Å, b = 6.454 Å, c = 9.980 Å
α = 122.07°, β = 108.56°, γ = 90.00°
Atoms (fractional coordinates):
Te (0.573, 0.250, 0.000)
Te (0.804, 0.728, 0.803)
Te (0.186, 0.773, 0.607)
Te (0.001, 0.772, 0.197)
Te (0.814, 0.227, 0.393)
Te (0.196, 0.272, 0.197)
Te (0.999, 0.228, 0.803)
Te (0.579, 0.727, 0.393)
Te (0.427, 0.750, 0.000)
Te (0.421, 0.273, 0.607)
Co (0.901, 0.509, 0.300)
Co (0.601, 0.991, 0.700)
Co (0.399, 0.009, 0.300)
Co (0.099, 0.491, 0.700)

The calculation puts the mass density at 7.8 g cm⁻³. For the uncorrected formation energy, the calculation gives -0.1480 eV per atom. Its space group is No. 15.